Entry 1:
VASP calculation (GGA-PBE) on an optimized crystal structure of LaBe2Ru.

Lattice parameters (Å, degrees): 4.7995 4.7995 4.7995 131.51 111.67 88.17
Last column: nearest neighbours and their distance in Å.
Element x y z (fractional)
La  0.4913  0.4913  0.0000  4 Ru 2.88-3.13, 4 Be 2.93-3.02
Ru  0.8448  0.3448  0.5000  3 Be 2.17-2.26
Be  0.1593  0.6593  0.5000  1 Ru 2.17, 2 Be 2.24
Be  0.0046  0.0046  0.0000  2 Be 2.24, 2 Ru 2.26

Results
E_form   0.2170 eV/atom
Total magnetic moment   0.00 μB/f.u.
Uncorrected energy   -5.197 eV/atom

Entry 2:
VASP calculation (GGA-PBE) on an optimized crystal structure of LaBeRu2.

Lattice parameters (Å, degrees): 5.6925 5.6925 5.6925 44.14 44.14 44.14
Last column: nearest neighbours and their distance in Å.
Element x y z (fractional)
La  0.7500  0.7500  0.7500  2 Ru 2.77
Ru  0.5699  0.5699  0.5699  3 Be 2.48, 3 Ru 2.50, 1 La 2.77
Ru  0.9301  0.9301  0.9301  3 Be 2.48, 3 Ru 2.50, 1 La 2.77
Be  0.2500  0.2500  0.2500  6 Ru 2.48

Results
E_form   -0.1145 eV/atom
Total magnetic moment   0.35 μB/f.u.
Uncorrected energy   -6.916 eV/atom

Entry 3:
VASP calculation (GGA-PBE) on an optimized crystal structure of LaBeSi2Ru2.

Lattice parameters (Å, degrees): 4.2497 4.2497 5.4236 90.00 90.00 90.00
Last column: nearest neighbours and their distance in Å.
Element x y z (fractional)
La  0.0000  0.0000  0.5000  2 Be 2.71
Ru  0.5000  0.0000  0.0000  2 Be 2.12
Ru  0.0000  0.5000  0.0000  2 Be 2.12
Be  0.0000  0.0000  0.0000  4 Ru 2.12
Si  0.5000  0.5000  0.7432  4 Ru 2.54, 2 Si 2.64-2.79
Si  0.5000  0.5000  0.2568  4 Ru 2.54, 2 Si 2.64-2.79

Results
ΔE_f (raw)   -605 meV/atom
Total magnetic moment   0.00 μB/f.u.
Uncorrected energy   -6.947 eV/atom

Entry 4:
VASP calculation (GGA-PBE) on an optimized crystal structure of La2BeTlRu.

Lattice parameters (Å, degrees): 5.4889 5.4889 4.4636 90.00 90.00 90.00
Last column: nearest neighbours and their distance in Å.
Element x y z (fractional)
La  0.5000  0.0000  0.0000  2 Ru 2.74
La  0.0000  0.5000  0.0000  2 Ru 2.74
Be  0.0000  0.0000  0.5000  2 Ru 2.23
Tl  0.5000  0.5000  0.5000  8 La 3.54, 4 Be 3.88
Ru  0.0000  0.0000  0.0000  2 Be 2.23

Results
E_form   -0.1143 eV/atom
Total magnetic moment   0.00 μB/f.u.
Uncorrected energy   -5.159 eV/atom

Entry 5:
VASP calculation (GGA-PBE) on an optimized crystal structure of LaYBe2Ru.

Lattice parameters (Å, degrees): 4.6118 5.5147 4.6118 90.00 90.00 90.00
Last column: nearest neighbours and their distance in Å.
Element x y z (fractional)
La  0.0000  0.0000  0.0000  4 Be 2.31
Be  0.5000  0.0000  0.0000  2 La 2.31
Be  0.0000  0.0000  0.5000  2 La 2.31
Ru  0.5000  0.5000  0.5000  4 Y 3.26, 8 Be 3.59
Y  0.0000  0.5000  0.0000  2 La 2.76

Results
E_form   2.0735 eV/atom
Total magnetic moment   0.00 μB/f.u.
Uncorrected energy   -3.550 eV/atom

Entry 6:
VASP calculation (GGA-PBE) on an optimized crystal structure of La2BeS2.

Lattice parameters (Å, degrees): 7.7812 7.7812 3.7925 90.00 90.00 90.00
Last column: nearest neighbours and their distance in Å.
Element x y z (fractional)
Be  0.5000  0.5000  0.0000  4 S 2.99
Be  0.0000  0.0000  0.0000  4 S 2.99
La  0.1634  0.6634  0.5000  6 S 2.85-3.05
La  0.6634  0.8366  0.5000  6 S 2.85-3.05
La  0.3366  0.1634  0.5000  6 S 2.85-3.05
La  0.8366  0.3366  0.5000  6 S 2.85-3.05
S  0.3572  0.8572  0.0000  6 La 2.85-3.05, 2 Be 2.99, 1 S 3.14
S  0.8572  0.6428  0.0000  6 La 2.85-3.05, 2 Be 2.99, 1 S 3.14
S  0.1428  0.3572  0.0000  6 La 2.85-3.05, 2 Be 2.99, 1 S 3.14
S  0.6428  0.1428  0.0000  6 La 2.85-3.05, 2 Be 2.99, 1 S 3.14

Results
ΔE_f (raw)   -1093 meV/atom
Total magnetic moment   0.00 μB/f.u.
Uncorrected energy   -5.460 eV/atom

Entry 7:
VASP calculation (GGA-PBE) on an optimized crystal structure of La2BeS2.

Lattice parameters (Å, degrees): 5.7533 5.7533 5.5631 58.86 58.86 90.00
Last column: nearest neighbours and their distance in Å.
Element x y z (fractional)
S  0.2658  0.2658  0.4685  1 Be 2.02
S  0.7342  0.7342  0.5315  1 Be 2.02
La  0.7500  0.2500  0.5000  4 S 2.88
La  0.2500  0.7500  0.5000  4 S 2.88
Be  0.0000  0.0000  0.0000  2 S 2.02

Results
ΔE_f (raw)   -1136 meV/atom
Total magnetic moment   0.00 μB/f.u.
Uncorrected energy   -5.503 eV/atom

Entry 8:
VASP calculation (GGA-PBE) on an optimized crystal structure of La3BeS.

Lattice parameters (Å, degrees): 5.4601 5.4601 5.4601 90.00 90.00 90.00
Last column: nearest neighbours and their distance in Å.
Element x y z (fractional)
La  0.0000  0.5000  0.0000  2 S 2.73
La  0.5000  0.0000  0.0000  2 S 2.73
La  0.0000  0.0000  0.5000  2 S 2.73
Be  0.5000  0.5000  0.5000  12 La 3.86
S  0.0000  0.0000  0.0000  6 La 2.73

Results
ΔE_f (raw)   -378 meV/atom
Total magnetic moment   0.00 μB/f.u.
Uncorrected energy   -4.905 eV/atom

Entry 9:
VASP calculation (GGA-PBE) on an optimized crystal structure of LaBe2S.

Lattice parameters (Å, degrees): 7.1594 7.1594 5.8094 51.96 51.96 90.00
Last column: nearest neighbours and their distance in Å.
Element x y z (fractional)
Be  0.5414  0.1250  0.2500  2 S 2.27
Be  0.2086  0.6250  0.2500  2 S 2.27
Be  0.8750  0.7914  0.7500  2 S 2.27
Be  0.3750  0.4586  0.7500  2 S 2.27
La  0.7500  0.2500  0.5000  2 S 2.85, 8 Be 3.03-3.07
La  0.0000  0.0000  0.0000  2 S 2.85, 8 Be 3.03-3.07
S  0.2500  0.7500  0.5000  4 Be 2.27
S  0.5000  0.5000  0.0000  4 Be 2.27

Results
ΔE_f (raw)   -61 meV/atom
Total magnetic moment   0.00 μB/f.u.
Uncorrected energy   -4.188 eV/atom

Entry 10:
VASP calculation (GGA-PBE) on an optimized crystal structure of La2BeS4.

Lattice parameters (Å, degrees): 6.3114 6.4234 8.0406 90.00 108.60 90.00
Last column: nearest neighbours and their distance in Å.
Element x y z (fractional)
S  0.5054  0.0007  0.7385  1 Be 2.08
S  0.5054  0.4993  0.7385  1 Be 2.08
S  0.0757  0.7500  0.3724  1 Be 2.13
S  0.4946  0.9993  0.2615  1 Be 2.08
S  0.0990  0.7500  0.9245  1 Be 2.14
S  0.9243  0.2500  0.6276  1 Be 2.13
S  0.4946  0.5007  0.2615  1 Be 2.08
S  0.9010  0.2500  0.0755  1 Be 2.14
La  0.7689  0.7500  0.5700  6 S 2.87-3.00
La  0.2311  0.2500  0.4300  6 S 2.87-3.00
La  0.2803  0.2500  0.9487  6 S 2.83-2.99
La  0.7197  0.7500  0.0513  6 S 2.83-2.99
Be  0.7276  0.2500  0.7994  4 S 2.08-2.14
Be  0.2724  0.7500  0.2006  4 S 2.08-2.14

Results
ΔE_f (raw)   -1836 meV/atom
Total magnetic moment   0.00 μB/f.u.
Uncorrected energy   -6.135 eV/atom

Entry 11:
VASP calculation (GGA-PBE) on an optimized crystal structure of LaBe2SbS.

Lattice parameters (Å, degrees): 4.4764 5.5217 4.4764 90.00 90.00 90.00
Last column: nearest neighbours and their distance in Å.
Element x y z (fractional)
La  0.5000  0.5000  0.5000  4 Sb 3.17
Sb  0.0000  0.5000  0.0000  2 S 2.76
S  0.0000  0.0000  0.0000  4 Be 2.24
Be  0.5000  0.0000  0.0000  2 S 2.24
Be  0.0000  0.0000  0.5000  2 S 2.24

Results
ΔE_f (raw)   255 meV/atom
Total magnetic moment   0.00 μB/f.u.
Uncorrected energy   -3.871 eV/atom

Entry 12:
VASP calculation (GGA-PBE) on an optimized crystal structure of La3BeSbS7.

Lattice parameters (Å, degrees): 10.2428 10.2428 6.3594 90.00 90.00 120.00
Last column: nearest neighbours and their distance in Å.
Element x y z (fractional)
S  0.1147  0.5931  0.5199  1 Be 2.14
S  0.6667  0.3333  0.4961  1 Be 2.20
S  0.5931  0.4784  0.0199  1 Be 2.14
S  0.2520  0.1545  0.3042  1 Sb 2.56
S  0.7480  0.8455  0.8042  1 Sb 2.56
S  0.3333  0.6667  0.9961  1 Be 2.20
S  0.8853  0.4069  0.0199  1 Be 2.14
S  0.1545  0.9025  0.8042  1 Sb 2.56
S  0.8455  0.0975  0.3042  1 Sb 2.56
S  0.9025  0.7480  0.3042  1 Sb 2.56
S  0.5216  0.1147  0.0199  1 Be 2.14
S  0.4069  0.5216  0.5199  1 Be 2.14
S  0.4784  0.8853  0.5199  1 Be 2.14
S  0.0975  0.2520  0.8042  1 Sb 2.56
La  0.2553  0.8573  0.2393  6 S 2.80-3.09
La  0.1427  0.3980  0.2393  6 S 2.80-3.09
La  0.8573  0.6020  0.7393  6 S 2.80-3.09
La  0.7447  0.1427  0.7393  6 S 2.80-3.09
La  0.3980  0.2553  0.7393  6 S 2.80-3.09
La  0.6020  0.7447  0.2393  6 S 2.80-3.09
Sb  0.0000  0.0000  0.4957  3 S 2.56
Sb  0.0000  0.0000  0.9957  3 S 2.56
Be  0.6667  0.3333  0.1500  4 S 2.14-2.20
Be  0.3333  0.6667  0.6500  4 S 2.14-2.20

Results
ΔE_f (raw)   -1517 meV/atom
Total magnetic moment   0.00 μB/f.u.
Uncorrected energy   -5.810 eV/atom